# 1
# SrAc2Pd3 | Alexandria via LeMat-Bulk | PBE | relaxed
# Calculated volume (Å³/cell): 728.08
# Space-group type: Fddd (70)
# Distance to the lowest polymorph of the same formula (eV per atom): 0.000
# Total DFT energy (no corrections) (Ha/atom): -0.181
# Mass density (Mg/m³): 7.9
data_SrAc2Pd3
_chemical_formula_sum 'Sr4 Ac8 Pd12'
_cell_length_a 7.642
_cell_length_b 7.642
_cell_length_c 13.938
_cell_angle_alpha 100.54
_cell_angle_beta 100.54
_cell_angle_gamma 109.43
_symmetry_space_group_name_H-M 'P 1'
_symmetry_Int_Tables_number 1
loop_
_symmetry_equiv_pos_as_xyz
'x,y,z'
loop_
_atom_site_label
_atom_site_type_symbol
_atom_site_fract_x
_atom_site_fract_y
_atom_site_fract_z
_atom_site_occupancy
Sr1 Sr 0.917 0.917 0.833 1
Sr2 Sr 0.333 0.833 0.667 1
Sr3 Sr 0.167 0.667 0.333 1
Sr4 Sr 0.083 0.083 0.167 1
Ac1 Ac 0.000 0.500 0.000 1
Ac2 Ac 0.417 0.417 0.834 1
Ac3 Ac 0.833 0.333 0.666 1
Ac4 Ac 0.250 0.250 0.500 1
Ac5 Ac 0.750 0.750 0.500 1
Ac6 Ac 0.667 0.167 0.334 1
Ac7 Ac 0.583 0.583 0.166 1
Ac8 Ac 0.500 0.000 0.000 1
Pd1 Pd 0.168 0.659 0.837 1
Pd2 Pd 0.669 0.178 0.837 1
Pd3 Pd 0.082 0.091 0.663 1
Pd4 Pd 0.581 0.572 0.663 1
Pd5 Pd 0.992 0.492 0.500 1
Pd6 Pd 0.508 0.008 0.500 1
Pd7 Pd 0.428 0.419 0.337 1
Pd8 Pd 0.909 0.918 0.337 1
Pd9 Pd 0.822 0.331 0.163 1
Pd10 Pd 0.341 0.832 0.163 1
Pd11 Pd 0.258 0.258 0.000 1
Pd12 Pd 0.742 0.742 0.000 1

# 2
# Sr2AcPd | Alexandria via LeMat-Bulk | PBE | relaxed
# Calculated volume (Å³/cell): 147.61
# Space-group type: P4/mmm (123)
# Distance to the lowest polymorph of the same formula (eV per atom): 0.164
# Total DFT energy (no corrections) (Ha/atom): -0.125
# Mass density (Mg/m³): 5.7
data_Sr2AcPd
_chemical_formula_sum 'Sr2 Ac1 Pd1'
_cell_length_a 3.858
_cell_length_b 3.858
_cell_length_c 9.917
_cell_angle_alpha 90.00
_cell_angle_beta 90.00
_cell_angle_gamma 90.00
_symmetry_space_group_name_H-M 'P 1'
_symmetry_Int_Tables_number 1
loop_
_symmetry_equiv_pos_as_xyz
'x,y,z'
loop_
_atom_site_label
_atom_site_type_symbol
_atom_site_fract_x
_atom_site_fract_y
_atom_site_fract_z
_atom_site_occupancy
Sr1 Sr 0.000 0.000 0.820 1
Sr2 Sr 0.000 0.000 0.180 1
Ac1 Ac 0.500 0.500 0.500 1
Pd1 Pd 0.500 0.500 0.000 1

# 3
# Sr3AcPd3 | Alexandria via LeMat-Bulk | PBE | relaxed
# Calculated volume (Å³/cell): 445.19
# Space-group type: C2/m (12)
# Total DFT energy (no corrections) (Ha/atom): -0.150
# Mass density (Mg/m³): 6.0
data_Sr3AcPd3
_chemical_formula_sum 'Sr6 Ac2 Pd6'
_cell_length_a 7.829
_cell_length_b 7.829
_cell_length_c 7.775
_cell_angle_alpha 77.12
_cell_angle_beta 77.12
_cell_angle_gamma 77.01
_symmetry_space_group_name_H-M 'P 1'
_symmetry_Int_Tables_number 1
loop_
_symmetry_equiv_pos_as_xyz
'x,y,z'
loop_
_atom_site_label
_atom_site_type_symbol
_atom_site_fract_x
_atom_site_fract_y
_atom_site_fract_z
_atom_site_occupancy
Sr1 Sr 0.714 0.714 0.512 1
Sr2 Sr 0.200 0.800 0.500 1
Sr3 Sr 0.800 0.200 0.500 1
Sr4 Sr 0.286 0.714 0.000 1
Sr5 Sr 0.714 0.286 0.000 1
Sr6 Sr 0.286 0.286 0.488 1
Ac1 Ac 0.787 0.787 0.976 1
Ac2 Ac 0.213 0.213 0.024 1
Pd1 Pd 0.951 0.951 0.204 1
Pd2 Pd 0.999 0.493 0.756 1
Pd3 Pd 0.493 0.999 0.756 1
Pd4 Pd 0.001 0.507 0.244 1
Pd5 Pd 0.507 0.001 0.244 1
Pd6 Pd 0.049 0.049 0.796 1

# 4
# Sr5AcPd6 | Alexandria via LeMat-Bulk | PBE | relaxed
# Calculated volume (Å³/cell): 316.90
# Space-group type: Cmmm (65)
# Total DFT energy (no corrections) (Ha/atom): -0.156
# Mass density (Mg/m³): 6.8
data_Sr5AcPd6
_chemical_formula_sum 'Sr5 Ac1 Pd6'
_cell_length_a 5.304
_cell_length_b 7.527
_cell_length_c 8.368
_cell_angle_alpha 90.00
_cell_angle_beta 71.52
_cell_angle_gamma 90.00
_symmetry_space_group_name_H-M 'P 1'
_symmetry_Int_Tables_number 1
loop_
_symmetry_equiv_pos_as_xyz
'x,y,z'
loop_
_atom_site_label
_atom_site_type_symbol
_atom_site_fract_x
_atom_site_fract_y
_atom_site_fract_z
_atom_site_occupancy
Sr1 Sr 0.667 0.500 0.667 1
Sr2 Sr 0.329 0.000 0.343 1
Sr3 Sr 0.000 0.500 0.000 1
Sr4 Sr 0.671 0.000 0.657 1
Sr5 Sr 0.333 0.500 0.333 1
Ac1 Ac 0.000 0.000 0.000 1
Pd1 Pd 0.840 0.755 0.320 1
Pd2 Pd 0.840 0.245 0.320 1
Pd3 Pd 0.500 0.232 0.000 1
Pd4 Pd 0.500 0.768 0.000 1
Pd5 Pd 0.160 0.755 0.680 1
Pd6 Pd 0.160 0.245 0.680 1

# 5
# Sr2Ac2Pd15 | Alexandria via LeMat-Bulk | PBE | relaxed
# Calculated volume (Å³/cell): 376.02
# Space-group type: R-3m (166)
# Total DFT energy (no corrections) (Ha/atom): -0.189
# Mass density (Mg/m³): 9.8
data_Sr2Ac2Pd15
_chemical_formula_sum 'Sr2 Ac2 Pd15'
_cell_length_a 7.282
_cell_length_b 7.282
_cell_length_c 7.282
_cell_angle_alpha 82.06
_cell_angle_beta 82.06
_cell_angle_gamma 82.06
_symmetry_space_group_name_H-M 'P 1'
_symmetry_Int_Tables_number 1
loop_
_symmetry_equiv_pos_as_xyz
'x,y,z'
loop_
_atom_site_label
_atom_site_type_symbol
_atom_site_fract_x
_atom_site_fract_y
_atom_site_fract_z
_atom_site_occupancy
Sr1 Sr 0.367 0.367 0.367 1
Sr2 Sr 0.633 0.633 0.633 1
Ac1 Ac 0.114 0.114 0.114 1
Ac2 Ac 0.886 0.886 0.886 1
Pd1 Pd 0.500 0.000 0.000 1
Pd2 Pd 0.000 0.000 0.500 1
Pd3 Pd 0.000 0.500 0.000 1
Pd4 Pd 0.000 0.694 0.306 1
Pd5 Pd 0.694 0.306 0.000 1
Pd6 Pd 0.306 0.000 0.694 1
Pd7 Pd 0.306 0.694 0.000 1
Pd8 Pd 0.694 0.000 0.306 1
Pd9 Pd 0.000 0.306 0.694 1
Pd10 Pd 0.163 0.650 0.650 1
Pd11 Pd 0.650 0.650 0.163 1
Pd12 Pd 0.650 0.163 0.650 1
Pd13 Pd 0.837 0.350 0.350 1
Pd14 Pd 0.350 0.350 0.837 1
Pd15 Pd 0.350 0.837 0.350 1

# 6
# SrAcPd3 | Alexandria via LeMat-Bulk | PBE | relaxed
# Calculated volume (Å³/cell): 258.19
# Space-group type: Cmcm (63)
# Distance to the lowest polymorph of the same formula (eV per atom): 0.000
# Total DFT energy (no corrections) (Ha/atom): -0.183
# Mass density (Mg/m³): 8.2
data_SrAcPd3
_chemical_formula_sum 'Sr2 Ac2 Pd6'
_cell_length_a 4.579
_cell_length_b 4.132
_cell_length_c 13.799
_cell_angle_alpha 98.61
_cell_angle_beta 90.00
_cell_angle_gamma 90.00
_symmetry_space_group_name_H-M 'P 1'
_symmetry_Int_Tables_number 1
loop_
_symmetry_equiv_pos_as_xyz
'x,y,z'
loop_
_atom_site_label
_atom_site_type_symbol
_atom_site_fract_x
_atom_site_fract_y
_atom_site_fract_z
_atom_site_occupancy
Sr1 Sr 0.250 0.796 0.591 1
Sr2 Sr 0.750 0.204 0.409 1
Ac1 Ac 0.250 0.073 0.146 1
Ac2 Ac 0.750 0.927 0.854 1
Pd1 Pd 0.250 0.380 0.760 1
Pd2 Pd 0.750 0.620 0.240 1
Pd3 Pd 0.250 0.476 0.952 1
Pd4 Pd 0.750 0.524 0.048 1
Pd5 Pd 0.750 0.326 0.652 1
Pd6 Pd 0.250 0.674 0.348 1

# 7
# Sr2AcPd | Alexandria via LeMat-Bulk | PBE | relaxed
# Calculated volume (Å³/cell): 168.10
# Space-group type: R-3m (166)
# Distance to the lowest polymorph of the same formula (eV per atom): 0.285
# Total DFT energy (no corrections) (Ha/atom): -0.121
# Mass density (Mg/m³): 5.0
data_Sr2AcPd
_chemical_formula_sum 'Sr2 Ac1 Pd1'
_cell_length_a 4.080
_cell_length_b 4.080
_cell_length_c 11.896
_cell_angle_alpha 80.13
_cell_angle_beta 80.13
_cell_angle_gamma 60.00
_symmetry_space_group_name_H-M 'P 1'
_symmetry_Int_Tables_number 1
loop_
_symmetry_equiv_pos_as_xyz
'x,y,z'
loop_
_atom_site_label
_atom_site_type_symbol
_atom_site_fract_x
_atom_site_fract_y
_atom_site_fract_z
_atom_site_occupancy
Sr1 Sr 0.113 0.113 0.660 1
Sr2 Sr 0.887 0.887 0.340 1
Ac1 Ac 0.000 0.000 0.000 1
Pd1 Pd 0.500 0.500 0.500 1

# 8
# SrAc2Pd3 | Alexandria via LeMat-Bulk | PBE | relaxed
# Calculated volume (Å³/cell): 164.19
# Space-group type: P4/mmm (123)
# Distance to the lowest polymorph of the same formula (eV per atom): 0.003
# Total DFT energy (no corrections) (Ha/atom): -0.181
# Mass density (Mg/m³): 8.7
data_SrAc2Pd3
_chemical_formula_sum 'Sr1 Ac2 Pd3'
_cell_length_a 3.785
_cell_length_b 3.785
_cell_length_c 11.463
_cell_angle_alpha 90.00
_cell_angle_beta 90.00
_cell_angle_gamma 90.00
_symmetry_space_group_name_H-M 'P 1'
_symmetry_Int_Tables_number 1
loop_
_symmetry_equiv_pos_as_xyz
'x,y,z'
loop_
_atom_site_label
_atom_site_type_symbol
_atom_site_fract_x
_atom_site_fract_y
_atom_site_fract_z
_atom_site_occupancy
Sr1 Sr 0.500 0.500 0.500 1
Ac1 Ac 0.500 0.500 0.831 1
Ac2 Ac 0.500 0.500 0.169 1
Pd1 Pd 0.000 0.000 0.000 1
Pd2 Pd 0.000 0.000 0.681 1
Pd3 Pd 0.000 0.000 0.319 1

# 9
# SrAc2Pd6 | Alexandria via LeMat-Bulk | PBE | relaxed
# Calculated volume (Å³/cell): 220.09
# Space-group type: P6/mmm (191)
# Total DFT energy (no corrections) (Ha/atom): -0.193
# Mass density (Mg/m³): 8.9
data_SrAc2Pd6
_chemical_formula_sum 'Sr1 Ac2 Pd6'
_cell_length_a 4.088
_cell_length_b 7.885
_cell_length_c 7.885
_cell_angle_alpha 120.00
_cell_angle_beta 90.00
_cell_angle_gamma 90.00
_symmetry_space_group_name_H-M 'P 1'
_symmetry_Int_Tables_number 1
loop_
_symmetry_equiv_pos_as_xyz
'x,y,z'
loop_
_atom_site_label
_atom_site_type_symbol
_atom_site_fract_x
_atom_site_fract_y
_atom_site_fract_z
_atom_site_occupancy
Sr1 Sr 0.000 0.000 0.000 1
Ac1 Ac 0.000 0.333 0.667 1
Ac2 Ac 0.000 0.667 0.333 1
Pd1 Pd 0.500 0.334 0.334 1
Pd2 Pd 0.500 0.666 0.666 1
Pd3 Pd 0.500 0.000 0.666 1
Pd4 Pd 0.500 0.666 0.000 1
Pd5 Pd 0.500 0.334 0.000 1
Pd6 Pd 0.500 0.000 0.334 1

# 10
# SrAcPd2 | Alexandria via LeMat-Bulk | PBE | relaxed
# Calculated volume (Å³/cell): 121.72
# Space-group type: R3m (160)
# Distance to the lowest polymorph of the same formula (eV per atom): 0.130
# Total DFT energy (no corrections) (Ha/atom): -0.171
# Mass density (Mg/m³): 7.2
data_SrAcPd2
_chemical_formula_sum 'Sr1 Ac1 Pd2'
_cell_length_a 4.300
_cell_length_b 4.300
_cell_length_c 7.997
_cell_angle_alpha 74.40
_cell_angle_beta 74.40
_cell_angle_gamma 60.00
_symmetry_space_group_name_H-M 'P 1'
_symmetry_Int_Tables_number 1
loop_
_symmetry_equiv_pos_as_xyz
'x,y,z'
loop_
_atom_site_label
_atom_site_type_symbol
_atom_site_fract_x
_atom_site_fract_y
_atom_site_fract_z
_atom_site_occupancy
Sr1 Sr 0.497 0.497 0.510 1
Ac1 Ac 0.669 0.669 0.994 1
Pd1 Pd 0.081 0.081 0.758 1
Pd2 Pd 0.254 0.254 0.238 1

# 11
# SrAc3Pd3 | Alexandria via LeMat-Bulk | PBE | relaxed
# Calculated volume (Å³/cell): 215.49
# Space-group type: R3m (160)
# Distance to the lowest polymorph of the same formula (eV per atom): 0.088
# Total DFT energy (no corrections) (Ha/atom): -0.177
# Mass density (Mg/m³): 8.4
data_SrAc3Pd3
_chemical_formula_sum 'Sr1 Ac3 Pd3'
_cell_length_a 6.645
_cell_length_b 6.645
_cell_length_c 6.645
_cell_angle_alpha 110.65
_cell_angle_beta 110.65
_cell_angle_gamma 110.65
_symmetry_space_group_name_H-M 'P 1'
_symmetry_Int_Tables_number 1
loop_
_symmetry_equiv_pos_as_xyz
'x,y,z'
loop_
_atom_site_label
_atom_site_type_symbol
_atom_site_fract_x
_atom_site_fract_y
_atom_site_fract_z
_atom_site_occupancy
Sr1 Sr 0.953 0.953 0.953 1
Ac1 Ac 0.537 0.537 0.108 1
Ac2 Ac 0.537 0.108 0.537 1
Ac3 Ac 0.108 0.537 0.537 1
Pd1 Pd 0.553 0.056 0.056 1
Pd2 Pd 0.056 0.056 0.553 1
Pd3 Pd 0.056 0.553 0.056 1

# 12
# Sr2AcPd | Alexandria via LeMat-Bulk | PBE | relaxed
# Calculated volume (Å³/cell): 346.65
# Space-group type: Pmn2_1 (31)
# Distance to the lowest polymorph of the same formula (eV per atom): 0.000
# Total DFT energy (no corrections) (Ha/atom): -0.131
# Mass density (Mg/m³): 4.9
data_Sr2AcPd
_chemical_formula_sum 'Sr4 Ac2 Pd2'
_cell_length_a 4.376
_cell_length_b 4.376
_cell_length_c 18.103
_cell_angle_alpha 90.00
_cell_angle_beta 90.00
_cell_angle_gamma 90.00
_symmetry_space_group_name_H-M 'P 1'
_symmetry_Int_Tables_number 1
loop_
_symmetry_equiv_pos_as_xyz
'x,y,z'
loop_
_atom_site_label
_atom_site_type_symbol
_atom_site_fract_x
_atom_site_fract_y
_atom_site_fract_z
_atom_site_occupancy
Sr1 Sr 0.750 0.837 0.758 1
Sr2 Sr 0.250 0.337 0.242 1
Sr3 Sr 0.750 0.837 0.080 1
Sr4 Sr 0.250 0.337 0.920 1
Ac1 Ac 0.250 0.336 0.583 1
Ac2 Ac 0.750 0.836 0.417 1
Pd1 Pd 0.250 0.336 0.412 1
Pd2 Pd 0.750 0.836 0.588 1

Quick rundown of ΔH_f (0 K), same order as above: -0.684 -0.237 -0.545 -0.604 -0.447 -0.704 -0.117 -0.682 -0.691 -0.596 -0.577 -0.402 eV/atom
Quick rundown of spin magnetization, same order as above: 0.00 0.00 0.00 0.00 0.00 0.00 0.00 0.00 0.00 0.00 0.00 0.00 μB per cell